The following is a PBE calculation of crystalline CaSb2RhI at its relaxed geometry, from the Alexandria database.

Lattice parameters (Å, degrees): 5.1442 5.1442 5.7715 90.00 90.00 90.00
Last column: magnetic moment on the atom in μB.
Positions (direct):
Sb1 0.5000 0.0000 0.0000  0.04
Ca1 0.5000 0.5000 0.5000  0.01
Rh1 0.0000 0.0000 0.0000  0.10
I1 0.0000 0.0000 0.5000  0.01
Sb2 0.0000 0.5000 0.0000  0.04

Summary:
- excess energy over the best structure of this formula in the dataset (eV per atom) = 0.000
- DOS at the Fermi energy (states/eV/atom) = 1.094
- space-group type = No. 123
- raw formation energy (eV/atom) = -0.161
- raw total energy (Ry per atom) = -0.29333